DFT (GGA-PBE) results for crystalline Pr5S5N at its relaxed geometry.

Fermi-level density of states ... 0.2814 states/eV/atom
Mass density ... 5.27 Mg/m³
ΔE_f (raw) ... -1.863 eV/atom
V ... 25.19 Å³/atom

a b c (Å): 7.0127 7.0127 7.9962
angles (deg): 106.91 106.91 48.01
Atoms (fractional coordinates):
Pr 0.0000 0.0000 0.0000
Pr 0.3435 0.3435 0.6828
Pr 0.3513 0.3513 0.1601
Pr 0.6487 0.6487 0.8399
Pr 0.6565 0.6565 0.3172
S 0.1683 0.1683 0.8363
S 0.1750 0.1750 0.3302
S 0.5000 0.5000 0.5000
S 0.8250 0.8250 0.6698
S 0.8317 0.8317 0.1637
N 0.5000 0.5000 0.0000